[1]
Density functional theory data (PBE) for Co2SiHg after structural relaxation.

Calculated values
The calculation puts the uncorrected formation energy at 0.075 eV per atom. For the total magnetic moment, the calculation gives 0.287 μB per atom. Its crystal system is orthorhombic. Its excess energy over the best structure of this formula in the dataset is 0.692 eV per formula unit. The symmetry is No. 44.

The structure in CIF format:
```
data_Co2SiHg
_chemical_formula_sum 'Co2 Si1 Hg1'
_symmetry_space_group_name_H-M 'P 1'
_symmetry_Int_Tables_number 1
_cell_length_a 6.774
_cell_length_b 6.774
_cell_length_c 6.774
_cell_angle_alpha 156.79
_cell_angle_beta 151.01
_cell_angle_gamma 37.46
loop_
_symmetry_equiv_pos_as_xyz
'x,y,z'
loop_
_atom_site_label
_atom_site_type_symbol
_atom_site_fract_x
_atom_site_fract_y
_atom_site_fract_z
Co1 Co 0.000 0.000 0.000
Co2 Co 0.827 0.327 0.500
Si1 Si 0.444 0.444 0.000
Hg1 Hg 0.186 0.686 0.500
```

[2]
Density functional theory data (PBE) for NdGdDy4 after structural relaxation.

Calculated values
The total DFT energy (no corrections) comes out at -5.96 eV per atom. For the total magnetic moment, the calculation gives 1.414 μB per atom. Its crystal system is cubic. The symmetry is No. 216.

The structure in CIF format:
```
data_NdGdDy4
_chemical_formula_sum 'Nd1 Gd1 Dy4'
_symmetry_space_group_name_H-M 'P 1'
_symmetry_Int_Tables_number 1
_cell_length_a 6.614
_cell_length_b 6.614
_cell_length_c 6.614
_cell_angle_alpha 60.00
_cell_angle_beta 60.00
_cell_angle_gamma 60.00
loop_
_symmetry_equiv_pos_as_xyz
'x,y,z'
loop_
_atom_site_label
_atom_site_type_symbol
_atom_site_fract_x
_atom_site_fract_y
_atom_site_fract_z
Nd1 Nd 0.000 0.000 0.000
Gd1 Gd 0.250 0.250 0.250
Dy1 Dy 0.124 0.625 0.625
Dy2 Dy 0.625 0.124 0.625
Dy3 Dy 0.625 0.625 0.124
Dy4 Dy 0.625 0.625 0.625
```

[3]
Density functional theory data (PBE) for SrYNi2 after structural relaxation.

Calculated values
For the total magnetic moment, the calculation gives 0.000 μB per atom. Its crystal system is cubic. Its excess energy over the best structure of this formula in the dataset is 0.582 eV per formula unit. The symmetry is No. 225.

The structure in CIF format:
```
data_SrYNi2
_chemical_formula_sum 'Sr1 Y1 Ni2'
_symmetry_space_group_name_H-M 'P 1'
_symmetry_Int_Tables_number 1
_cell_length_a 4.933
_cell_length_b 4.933
_cell_length_c 4.933
_cell_angle_alpha 60.00
_cell_angle_beta 60.00
_cell_angle_gamma 60.00
loop_
_symmetry_equiv_pos_as_xyz
'x,y,z'
loop_
_atom_site_label
_atom_site_type_symbol
_atom_site_fract_x
_atom_site_fract_y
_atom_site_fract_z
Sr1 Sr 0.000 0.000 0.000
Y1 Y 0.500 0.500 0.500
Ni1 Ni 0.250 0.250 0.250
Ni2 Ni 0.750 0.750 0.750
```

[4]
Density functional theory data (PBE) for MgScCu2 after structural relaxation.

Calculated values
The total DFT energy (no corrections) comes out at -4.13 eV per atom. For the total magnetic moment, the calculation gives 0.000 μB per atom. Its crystal system is tetragonal. The symmetry is No. 99.

The structure in CIF format:
```
data_MgScCu2
_chemical_formula_sum 'Mg1 Sc1 Cu2'
_symmetry_space_group_name_H-M 'P 1'
_symmetry_Int_Tables_number 1
_cell_length_a 3.214
_cell_length_b 3.214
_cell_length_c 6.629
_cell_angle_alpha 90.00
_cell_angle_beta 90.00
_cell_angle_gamma 90.00
loop_
_symmetry_equiv_pos_as_xyz
'x,y,z'
loop_
_atom_site_label
_atom_site_type_symbol
_atom_site_fract_x
_atom_site_fract_y
_atom_site_fract_z
Mg1 Mg 0.000 0.000 0.000
Sc1 Sc 0.500 0.500 0.354
Cu1 Cu 0.000 0.000 0.583
Cu2 Cu 0.500 0.500 0.769
```

[5]
Density functional theory data (PBE) for Sc6SbAs3P2 after structural relaxation.

Calculated values
The calculation puts the uncorrected formation energy at -1.314 eV per atom. For the total magnetic moment, the calculation gives 0.000 μB per atom. Its crystal system is monoclinic. The symmetry is No. 12.

The structure in CIF format:
```
data_Sc6SbAs3P2
_chemical_formula_sum 'Sc6 Sb1 As3 P2'
_symmetry_space_group_name_H-M 'P 1'
_symmetry_Int_Tables_number 1
_cell_length_a 8.672
_cell_length_b 8.672
_cell_length_c 7.803
_cell_angle_alpha 102.52
_cell_angle_beta 102.52
_cell_angle_gamma 25.81
loop_
_symmetry_equiv_pos_as_xyz
'x,y,z'
loop_
_atom_site_label
_atom_site_type_symbol
_atom_site_fract_x
_atom_site_fract_y
_atom_site_fract_z
Sc1 Sc 0.005 0.005 0.268
Sc2 Sc 0.325 0.325 0.904
Sc3 Sc 0.330 0.330 0.421
Sc4 Sc 0.670 0.670 0.579
Sc5 Sc 0.675 0.675 0.096
Sc6 Sc 0.995 0.995 0.732
Sb1 Sb 0.500 0.500 0.000
As1 As 0.163 0.163 0.832
As2 As 0.500 0.500 0.500
As3 As 0.837 0.837 0.168
P1 P 0.168 0.168 0.336
P2 P 0.832 0.832 0.664
```

[6]
Density functional theory data (PBE) for SrTm2Pa after structural relaxation.

Calculated values
The total DFT energy (no corrections) comes out at -4.73 eV per atom. For the total magnetic moment, the calculation gives 0.000 μB per atom. Its crystal system is trigonal. The symmetry is No. 166.

The structure in CIF format:
```
data_SrTm2Pa
_chemical_formula_sum 'Sr1 Tm2 Pa1'
_symmetry_space_group_name_H-M 'P 1'
_symmetry_Int_Tables_number 1
_cell_length_a 12.436
_cell_length_b 12.436
_cell_length_c 12.436
_cell_angle_alpha 16.10
_cell_angle_beta 16.10
_cell_angle_gamma 16.10
loop_
_symmetry_equiv_pos_as_xyz
'x,y,z'
loop_
_atom_site_label
_atom_site_type_symbol
_atom_site_fract_x
_atom_site_fract_y
_atom_site_fract_z
Sr1 Sr 0.000 0.000 0.000
Tm1 Tm 0.095 0.095 0.095
Tm2 Tm 0.905 0.905 0.905
Pa1 Pa 0.500 0.500 0.500
```

Look up the total magnetic moment of the fourth one.
0.000 μB per atom